(1)
TeP2SeS at its PBEsol-relaxed geometry, computed with SCAN.

extended XYZ file:
```
5
Lattice="4.600 0.000 0.000 0.000 4.783 0.000 0.000 0.000 4.783" Properties=species:S:1:pos:R:3 pbc="T T T"
P 0.000 0.000 2.391
P 0.000 2.391 0.000
S 2.300 0.000 0.000
Te 2.300 2.391 2.391
Se 0.000 0.000 0.000
```

The uncorrected formation energy comes out at 1004 meV/atom. The density comes out at 4.743 Mg/m³. Its space group is P4/mmm, No. 123.

***

(2)
ReSiP2 at its PBEsol-relaxed geometry, computed with SCAN.

extended XYZ file:
```
4
Lattice="4.223 0.000 0.000 2.112 3.658 0.000 2.112 1.219 3.448" Properties=species:S:1:pos:R:3 pbc="T T T"
P 0.000 0.000 0.000
P 6.335 3.658 2.586
Re 4.223 2.438 1.724
Si 2.112 1.219 0.862
```

The uncorrected formation energy comes out at 583 meV/atom. The density comes out at 8.611 Mg/m³. Its space group is F-43m, No. 216.

***

(3)
SrGaSbTe2 at its PBEsol-relaxed geometry, computed with SCAN.

extended XYZ file:
```
5
Lattice="-4.881 -3.315 -0.190 3.152 -4.749 1.891 -1.215 1.462 5.697" Properties=species:S:1:pos:R:3 pbc="T T T"
Sb -2.440 -1.657 -0.095
Te -0.607 0.731 2.848
Te 1.576 -2.375 0.945
Ga -1.472 -3.301 3.699
Sr 0.000 0.000 0.000
```

The uncorrected formation energy comes out at 415 meV/atom. The density comes out at 4.167 Mg/m³. Its space group is P4/mmm, No. 123.

***

(4)
MnBeRh2 at its PBEsol-relaxed geometry, computed with SCAN.

extended XYZ file:
```
4
Lattice="-1.726 1.049 -1.767 -0.005 -2.310 -1.367 -4.774 -2.033 3.454" Properties=species:S:1:pos:R:3 pbc="T T T"
Be -0.865 -0.630 -1.567
Mn -3.252 -1.647 0.160
Rh -3.687 -1.570 2.667
Rh -1.087 -0.463 0.786
```

The density comes out at 9.977 Mg/m³. For the total energy, the calculation gives -92.2 eV for the cell shown. Its space group is P4/mmm, No. 123.

***

(5)
KPIr at its PBEsol-relaxed geometry, computed with SCAN.

extended XYZ file:
```
3
Lattice="-3.286 2.667 -1.565 -4.041 -1.745 -0.994 -3.566 0.947 2.597" Properties=species:S:1:pos:R:3 pbc="T T T"
P 0.000 0.000 0.000
K -2.723 0.467 0.010
Ir -5.446 0.935 0.019
```

The density comes out at 6.705 Mg/m³. For the total energy, the calculation gives -83.6 eV for the cell shown. Its space group is F-43m, No. 216.

***

(6)
Ca2InFe at its PBEsol-relaxed geometry, computed with SCAN.

extended XYZ file:
```
4
Lattice="-1.169 1.159 3.109 -4.915 -0.607 -1.622 3.045 -5.308 1.134" Properties=species:S:1:pos:R:3 pbc="T T T"
Ca 0.000 -0.177 0.066
Ca -2.457 -2.517 0.014
Fe 0.002 -4.754 1.774
In -0.583 -2.339 2.643
```

The density comes out at 4.230 Mg/m³. For the total energy, the calculation gives -70.9 eV for the cell shown. Its space group is Imm2, No. 44.